[1]
Material: TlCr2CoI
Method: DFT, PBE
State: relaxed

Cell lengths 4.7693, 5.2447, 4.7693 Å; angles 90.00, 90.00, 90.00 degrees
Each line ends with the local moment (μB).
Fractional positions:
I (0.0000, 0.5000, 0.0000)  0.06
Cr (0.0000, 0.0000, 0.5000)  3.47
Cr (0.5000, 0.0000, 0.0000)  3.87
Tl (0.5000, 0.5000, 0.5000)  0.05
Co (0.0000, 0.0000, 0.0000)  -0.63

Summary:
Formation energy (no corrections): 920 meV/atom
M_tot: 7.912 μB/f.u.

[2]
Material: CsInAgSe2
Method: DFT, PBE
State: relaxed

Cell lengths 6.5959, 6.9853, 8.1589 Å; angles 115.35, 90.00, 90.00 degrees
Fractional positions:
Cs (0.2372, 0.7500, 0.5000)
Cs (0.7628, 0.2500, 0.5000)
In (0.5000, 0.7500, 0.0000)
In (0.5000, 0.2500, 0.0000)
Ag (0.0000, 0.0000, 0.0000)
Ag (0.0000, 0.5000, 0.0000)
Se (0.7289, 0.8808, 0.7616)
Se (0.7289, 0.6192, 0.2384)
Se (0.2711, 0.3808, 0.7616)
Se (0.2711, 0.1192, 0.2384)

Summary:
Formation energy (no corrections): -540 meV/atom
M_tot: 0.000 μB/f.u.

[3]
Material: Fe7NiRh3
Method: DFT, PBE
State: relaxed

Cell lengths 2.6108, 9.7913, 11.8091 Å; angles 90.00, 90.00, 97.66 degrees
Each line ends with the local moment (μB).
Fractional positions:
Fe (0.3872, 0.7745, 0.7500)  2.85
Fe (0.6128, 0.2255, 0.2500)  2.85
Fe (0.5316, 0.0633, 0.4112)  2.68
Fe (0.4684, 0.9367, 0.5888)  2.68
Fe (0.4684, 0.9367, 0.9112)  2.68
Fe (0.5316, 0.0633, 0.0888)  2.68
Fe (0.4061, 0.8123, 0.3968)  2.75
Fe (0.5939, 0.1877, 0.6032)  2.75
Fe (0.2743, 0.5486, 0.4116)  2.80
Fe (0.7257, 0.4514, 0.5884)  2.80
Fe (0.7257, 0.4514, 0.9116)  2.80
Fe (0.2743, 0.5486, 0.0884)  2.80
Fe (0.4061, 0.8123, 0.1032)  2.75
Fe (0.5939, 0.1877, 0.8968)  2.75
Ni (0.9788, 0.9576, 0.2500)  0.80
Ni (0.0212, 0.0424, 0.7500)  0.80
Rh (0.1482, 0.2963, 0.4328)  0.47
Rh (0.8518, 0.7037, 0.5672)  0.47
Rh (0.1677, 0.3355, 0.7500)  0.47
Rh (0.8323, 0.6645, 0.2500)  0.47
Rh (0.1482, 0.2963, 0.0672)  0.47
Rh (0.8518, 0.7037, 0.9328)  0.47

Summary:
DFT formation energy: 0.226 eV/atom
M_tot: 21.469 μB/f.u.

[4]
Material: Sr2CaBeB
Method: DFT, PBE
State: relaxed

Cell lengths 6.4894, 4.5037, 6.4894 Å; angles 90.00, 90.00, 90.00 degrees
Fractional positions:
Sr (0.0000, 0.0000, 0.5000)
Sr (0.5000, 0.0000, 0.0000)
Ca (0.0000, 0.0000, 0.0000)
B (0.0000, 0.5000, 0.0000)
Be (0.5000, 0.5000, 0.5000)

Summary:
DFT formation energy: 1.454 eV/atom
M_tot: 0.000 μB/f.u.

[5]
Material: FeNiMo
Method: DFT, PBE
State: relaxed

Cell lengths 6.0208, 6.0208, 6.0208 Å; angles 155.16, 155.16, 35.41 degrees
Each line ends with the local moment (μB).
Fractional positions:
Ni (0.6596, 0.6596, 0.0000)  0.38
Mo (0.3296, 0.3296, 0.0000)  -0.04
Fe (0.0108, 0.0108, 0.0000)  2.43

Summary:
Energy relative to the lowest polymorph listed for this composition: 21 meV per atom
DFT formation energy: 0.048 eV/atom
M_tot: 2.713 μB/f.u.

[6]
Material: CsTl4In2
Method: DFT, PBE
State: relaxed

Cell lengths 5.1569, 5.7646, 8.7868 Å; angles 109.15, 90.00, 90.00 degrees
Fractional positions:
Cs (0.0000, 0.0000, 0.0000)
Tl (0.5000, 0.8201, 0.6403)
Tl (0.0000, 0.6983, 0.3967)
Tl (0.5000, 0.1799, 0.3597)
Tl (0.0000, 0.3017, 0.6033)
In (0.5000, 0.5937, 0.1875)
In (0.5000, 0.4063, 0.8125)

Summary:
DFT formation energy: -0.039 eV/atom
M_tot: 0.000 μB/f.u.

[7]
Material: Mn2GeOs
Method: DFT, PBE
State: relaxed

Cell lengths 2.7028, 2.7028, 7.0210 Å; angles 90.00, 90.00, 90.00 degrees
Each line ends with the local moment (μB).
Fractional positions:
Ge (0.5000, 0.5000, 0.0000)  -0.06
Mn (0.0000, 0.0000, 0.7515)  1.39
Mn (0.0000, 0.0000, 0.2485)  1.39
Os (0.5000, 0.5000, 0.5000)  -0.37

Summary:
DFT formation energy: 0.051 eV/atom
M_tot: 2.388 μB/f.u.

[8]
Material: LaZn3S
Method: DFT, PBE
State: relaxed

Cell lengths 5.7602, 5.7602, 5.7602 Å; angles 90.00, 90.00, 90.00 degrees
Fractional positions:
Zn (0.0000, 0.5000, 0.0000)
Zn (0.0000, 0.0000, 0.5000)
Zn (0.5000, 0.0000, 0.0000)
S (0.5000, 0.5000, 0.5000)
La (0.0000, 0.0000, 0.0000)

Summary:
Energy relative to the lowest polymorph listed for this composition: 865 meV per atom
Formation energy (no corrections): 1007 meV/atom
M_tot: 0.000 μB/f.u.

Which value of M_tot does entry 2 give?
0.000 μB/f.u.

Which value of M_tot does entry 1 give?
7.912 μB/f.u.

Which value of M_tot does entry 3 give?
21.469 μB/f.u.